Density functional theory data (GGA-PBE) for a relaxed ZrZnFe2Re crystal.

For the formation energy, the calculation gives 1.853 eV/atom. The calculation puts the calculated density at 7458 kg/m3. Its magnetic moment is 4.75 Bohr magnetons per cell.

a b c (Å): 4.572 4.842 4.572
angles (deg): 90.00 90.00 90.00
Element x y z (fractional)
Re  0.000  0.500  0.000
Zn  0.500  0.500  0.500
Fe  0.000  0.000  0.500
Fe  0.500  0.000  0.000
Zr  0.000  0.000  0.000


Density functional theory data (GGA-PBE) for a relaxed CeAgHg crystal.

For the formation energy, the calculation gives -0.295 eV/atom. The calculation puts the calculated density at 10448 kg/m3. Its magnetic moment is 1.05 Bohr magnetons per cell. The calculation puts the energy above the most stable polymorph in this dataset at 2.5 meV per atom.

a b c (Å): 3.297 4.997 4.997
angles (deg): 120.00 90.00 90.00
Element x y z (fractional)
Ag  0.167  0.333  0.667
Hg  0.166  0.000  0.000
Ce  0.667  0.667  0.333


Density functional theory data (GGA-PBE) for a relaxed Mg15Tl2Hg2 crystal.

For the formation energy, the calculation gives 0.137 eV/atom. The calculation puts the calculated density at 4029 kg/m3. Its magnetic moment is 0.00 Bohr magnetons per cell.

a b c (Å): 8.681 8.681 8.681
angles (deg): 62.08 62.08 62.08
Element x y z (fractional)
Mg  0.000  0.500  0.000
Mg  0.000  0.000  0.500
Mg  0.500  0.000  0.000
Mg  0.319  0.000  0.681
Mg  0.681  0.319  0.000
Mg  0.000  0.681  0.319
Mg  0.319  0.681  0.000
Mg  0.000  0.319  0.681
Mg  0.681  0.000  0.319
Mg  0.434  0.795  0.434
Mg  0.434  0.434  0.795
Mg  0.795  0.434  0.434
Mg  0.566  0.205  0.566
Mg  0.566  0.566  0.205
Mg  0.205  0.566  0.566
Tl  0.722  0.722  0.722
Tl  0.278  0.278  0.278
Hg  0.919  0.919  0.919
Hg  0.081  0.081  0.081